(1)
This record from the Alexandria database describes a geometry-optimized USeSI structure. The functional is GGA-PBE.

The structure in extended XYZ format:
```
4
Lattice="3.9845 -0.0128 0.0047 -1.9801 3.4578 -0.0047 -1.9959 -1.1444 10.1473" Properties=species:S:1:pos:R:3 pbc="T T T"
S 0.5494 1.9860 1.4250
Se 0.5531 1.9838 8.6300
I 0.5250 -0.3055 5.0485
U 2.5396 0.8280 0.0865
```

calculated density: 5.66 g/cm³
final energy: -23.6 eV/cell
magnetization: 1.7 μB/f.u.
space-group type: Cm, No. 8

(2)
This record from the Alexandria database describes a geometry-optimized ZnSeSI2 structure. The functional is GGA-PBE.

The structure in extended XYZ format:
```
5
Lattice="-5.4635 1.6252 1.4450 -0.7662 -4.4170 2.0708 1.9740 2.0669 5.1391" Properties=species:S:1:pos:R:3 pbc="T T T"
S -2.1279 -0.3624 4.3275
Se 0.0000 0.0000 0.0000
I 0.9870 1.0335 2.5696
I -2.7318 0.8126 0.7225
Zn -0.3831 -2.2085 1.0354
```

calculated density: 4.18 g/cm³
final energy: -9.1 eV/cell
magnetization: 2.0 μB/f.u.
space-group type: P4/mmm, No. 123

(3)
This record from the Alexandria database describes a geometry-optimized Si2SI structure. The functional is GGA-PBE.

The structure in extended XYZ format:
```
8
Lattice="4.9916 0.0000 0.0000 0.0000 4.9916 0.0000 2.4958 2.4958 8.0136" Properties=species:S:1:pos:R:3 pbc="T T T"
S 2.4958 2.4958 0.0000
Si 6.2395 5.4295 6.0102
I 0.0000 0.0000 0.0000
Si 3.7437 4.5537 6.0102
Si 2.0579 3.7437 2.0034
Si 2.9337 1.2479 2.0034
S 2.4958 4.9916 4.0068
I 4.9916 2.4958 4.0068
```

calculated density: 3.58 g/cm³
final energy: -29.7 eV/cell
magnetization: 0.0 μB/f.u.
space-group type: I-42d, No. 122

(4)
This record from the Alexandria database describes a geometry-optimized SiS3I structure. The functional is GGA-PBE.

The structure in extended XYZ format:
```
5
Lattice="-3.0666 1.7222 -2.9956 1.4922 -2.9524 -3.2250 -3.1166 -3.1082 1.4035" Properties=species:S:1:pos:R:3 pbc="T T T"
Si 0.0000 0.0000 0.0000
S 0.7461 -1.4762 -1.6125
I -2.3455 -2.1692 -2.4085
S -1.5333 0.8611 -1.4978
S -1.5583 -1.5541 0.7017
```

calculated density: 4.23 g/cm³
final energy: -17.2 eV/cell
magnetization: 0.0 μB/f.u.
space-group type: Pm-3m, No. 221

(5)
This record from the Alexandria database describes a geometry-optimized Si2SI structure. The functional is GGA-PBE.

The structure in extended XYZ format:
```
4
Lattice="2.5804 -1.3303 3.9728 3.2357 3.1261 1.9923 -0.9488 2.0766 4.3588" Properties=species:S:1:pos:R:3 pbc="T T T"
S 0.0000 0.0000 0.0000
Si 3.6505 2.9042 7.7429
I 2.4336 1.9362 5.1619
Si 1.2168 0.9681 2.5810
```

calculated density: 4.24 g/cm³
final energy: -13.6 eV/cell
magnetization: 0.0 μB/f.u.
space-group type: Fm-3m, No. 225

(6)
This record from the Alexandria database describes a geometry-optimized Sm6Si2S3I structure. The functional is GGA-PBE.

The structure in extended XYZ format:
```
12
Lattice="-3.7322 -0.4515 1.7195 -0.2526 -8.0012 -2.6494 5.7119 -0.5954 7.2722" Properties=species:S:1:pos:R:3 pbc="T T T"
Sm 1.7603 -6.7358 7.0214
S 1.0245 -6.9652 0.3947
Sm -0.5070 -1.3347 3.5186
Sm 2.4539 -3.8818 4.3070
Si 0.5271 -6.1015 4.5113
Sm -0.0332 -2.3124 -0.6792
Si 1.2000 -2.9467 1.8309
Sm 2.2341 -7.7135 2.8237
Sm -0.7268 -5.1663 2.0352
S -1.9924 -4.2264 -0.4650
I -1.8661 -0.2258 0.8597
S 0.7026 -2.0830 5.9475
```

calculated density: 6.37 g/cm³
final energy: -70.1 eV/cell
magnetization: 0.0 μB/f.u.
space-group type: C2/m, No. 12